# 1
A plane-wave DFT calculation with PBE was carried out for a relaxed structure of InGaAg.

spin magnetization	0.00	μB/cell
space-group type	I4/mmm
DFT formation energy	0.07	eV/atom
final energy	-2.797	eV per atom

abc: 12.353 12.353 12.353
angles: 164.72 164.72 21.68
Element x y z (fractional)
In 0.137 0.137 0.000
In 0.863 0.863 0.000
Ga 0.446 0.446 0.000
Ga 0.554 0.554 0.000
Ag 0.286 0.286 0.000
Ag 0.714 0.714 0.000


# 2
A plane-wave DFT calculation with PBE was carried out for a relaxed structure of HfZr4Au.

spin magnetization	0.00	μB/cell
space-group type	P4/mmm
DFT formation energy	0.37	eV/atom
final energy	-7.531	eV per atom

abc: 4.803 4.803 6.499
angles: 90.00 90.00 90.00
Element x y z (fractional)
Hf 0.000 0.000 0.000
Zr 0.000 0.500 0.248
Zr 0.000 0.500 0.752
Zr 0.500 0.000 0.248
Zr 0.500 0.000 0.752
Au 0.500 0.500 0.500


# 3
A plane-wave DFT calculation with PBE was carried out for a relaxed structure of TcAs2W.

excess energy over the best structure of this formula in the dataset	8	meV per atom
spin magnetization	0.00	μB/cell
space-group type	Cm
DFT formation energy	0.04	eV/atom
final energy	-8.116	eV per atom

abc: 4.692 4.692 4.619
angles: 106.07 106.07 39.44
Element x y z (fractional)
Tc 0.000 0.000 0.000
As 0.504 0.504 0.486
As 0.739 0.739 0.136
W 0.245 0.245 0.618


# 4
A plane-wave DFT calculation with PBE was carried out for a relaxed structure of Si2OsCl.

excess energy over the best structure of this formula in the dataset	659	meV per atom
E_form (uncorrected)	0.57	eV/atom
spin magnetization	0.48	μB/cell
space-group type	P4/mmm
final energy	-5.409	eV per atom

abc: 4.734 4.734 2.739
angles: 90.00 90.00 90.00
Element x y z (fractional)
Si 0.000 0.500 0.000
Si 0.500 0.000 0.000
Os 0.000 0.000 0.500
Cl 0.500 0.500 0.500


# 5
A plane-wave DFT calculation with PBE was carried out for a relaxed structure of Li2NdInAu2.

spin magnetization	0.00	μB/cell
space-group type	P-3m1
DFT formation energy	-0.57	eV/atom
final energy	-3.553	eV per atom

abc: 4.593 4.593 6.722
angles: 90.00 90.00 120.00
Element x y z (fractional)
Li 0.333 0.667 0.173
Li 0.667 0.333 0.827
Nd 0.000 0.000 0.500
In 0.000 0.000 0.000
Au 0.333 0.667 0.764
Au 0.667 0.333 0.236


# 6
A plane-wave DFT calculation with PBE was carried out for a relaxed structure of InSn4S6.

E_form (uncorrected)	-0.35	eV/atom
spin magnetization	0.00	μB/cell
space-group type	Cc
final energy	-4.301	eV per atom

abc: 8.805 8.805 12.900
angles: 116.35 116.35 48.55
Element x y z (fractional)
In 0.234 0.766 0.500
In 0.766 0.234 0.000
Sn 0.122 0.389 0.232
Sn 0.130 0.782 0.760
Sn 0.362 0.784 0.109
Sn 0.389 0.122 0.732
Sn 0.667 0.858 0.463
Sn 0.782 0.130 0.260
Sn 0.784 0.362 0.609
Sn 0.858 0.667 0.963
S 0.026 0.483 0.773
S 0.052 0.113 0.469
S 0.070 0.591 0.450
S 0.102 0.764 0.143
S 0.113 0.052 0.969
S 0.380 0.816 0.720
S 0.483 0.026 0.273
S 0.533 0.558 0.930
S 0.558 0.533 0.430
S 0.591 0.070 0.950
S 0.764 0.102 0.643
S 0.816 0.380 0.220


# 7
A plane-wave DFT calculation with PBE was carried out for a relaxed structure of MnCrAu2.

spin magnetization	0.00	μB/cell
space-group type	Fm-3m
DFT formation energy	0.68	eV/atom
final energy	-5.661	eV per atom

abc: 4.378 4.378 4.378
angles: 60.00 60.00 60.00
Element x y z (fractional)
Mn 0.000 0.000 0.000
Cr 0.500 0.500 0.500
Au 0.250 0.250 0.250
Au 0.750 0.750 0.750


# 8
A plane-wave DFT calculation with PBE was carried out for a relaxed structure of NaHfNi2Bi.

spin magnetization	0.00	μB/cell
space-group type	P4/mmm
DFT formation energy	0.69	eV/atom
final energy	-4.652	eV per atom

abc: 4.800 4.800 5.609
angles: 90.00 90.00 90.00
Element x y z (fractional)
Na 0.000 0.000 0.000
Hf 0.500 0.500 0.500
Ni 0.000 0.500 0.500
Ni 0.500 0.000 0.500
Bi 0.500 0.500 0.000


# 9
A plane-wave DFT calculation with PBE was carried out for a relaxed structure of Na2CuSn6.

excess energy over the best structure of this formula in the dataset	39	meV per atom
spin magnetization	0.00	μB/cell
space-group type	Amm2
DFT formation energy	-0.04	eV/atom
final energy	-3.460	eV per atom

abc: 4.461 12.151 12.151
angles: 21.62 90.00 90.00
Element x y z (fractional)
Na 0.000 0.000 0.000
Na 0.000 0.346 0.346
Cu 0.500 0.557 0.557
Sn 0.000 0.619 0.619
Sn 0.000 0.745 0.745
Sn 0.500 0.114 0.114
Sn 0.500 0.238 0.238
Sn 0.500 0.450 0.450
Sn 0.500 0.873 0.873


# 10
A plane-wave DFT calculation with PBE was carried out for a relaxed structure of Sr3HfOs.

excess energy over the best structure of this formula in the dataset	0	meV per atom
spin magnetization	0.00	μB/cell
space-group type	Pm-3m
DFT formation energy	1.11	eV/atom
final energy	-4.134	eV per atom

abc: 5.715 5.715 5.715
angles: 90.00 90.00 90.00
Element x y z (fractional)
Sr 0.000 0.000 0.500
Sr 0.000 0.500 0.000
Sr 0.500 0.000 0.000
Hf 0.500 0.500 0.500
Os 0.000 0.000 0.000


# 11
A plane-wave DFT calculation with PBE was carried out for a relaxed structure of Sm9Ho11Tm4.

spin magnetization	0.00	μB/cell
space-group type	Cmmm
DFT formation energy	0.05	eV/atom
final energy	-4.563	eV per atom

abc: 15.151 15.151 3.670
angles: 90.00 90.00 113.27
Element x y z (fractional)
Sm 0.000 0.000 0.000
Sm 0.129 0.664 0.000
Sm 0.286 0.433 0.000
Sm 0.336 0.871 0.000
Sm 0.433 0.286 0.000
Sm 0.567 0.714 0.000
Sm 0.664 0.129 0.000
Sm 0.714 0.567 0.000
Sm 0.871 0.336 0.000
Ho 0.094 0.455 0.500
Ho 0.132 0.868 0.500
Ho 0.209 0.209 0.500
Ho 0.339 0.661 0.500
Ho 0.455 0.094 0.500
Ho 0.500 0.500 0.500
Ho 0.545 0.906 0.500
Ho 0.661 0.339 0.500
Ho 0.791 0.791 0.500
Ho 0.868 0.132 0.500
Ho 0.906 0.545 0.500
Tm 0.055 0.256 0.000
Tm 0.256 0.055 0.000
Tm 0.744 0.945 0.000
Tm 0.945 0.744 0.000


# 12
A plane-wave DFT calculation with PBE was carried out for a relaxed structure of In2CuPt6.

spin magnetization	0.00	μB/cell
space-group type	C2/m
DFT formation energy	-0.15	eV/atom
final energy	-5.239	eV per atom

abc: 8.058 8.058 2.907
angles: 100.17 100.17 56.79
Element x y z (fractional)
In 0.161 0.161 0.159
In 0.839 0.839 0.841
Cu 0.500 0.500 0.500
Pt 0.143 0.526 0.336
Pt 0.219 0.781 0.000
Pt 0.474 0.857 0.664
Pt 0.526 0.143 0.336
Pt 0.781 0.219 0.000
Pt 0.857 0.474 0.664